Model A:
{
  "formula": "LiTmIn2",
  "functional": "PBE-GGA",
  "state": "optimized geometry",
  "lattice_angstrom": [[5.088, 0.000, 0.000], [2.544, 4.406, 0.000], [2.544, 1.469, 4.154]],
  "species": ["Li", "In", "In", "Tm"],
  "frac_coords": [[0.500, 0.500, 0.500], [0.250, 0.250, 0.250], [0.750, 0.750, 0.750], [0.000, 0.000, 0.000]],
  "dos_ef_per_ev_cell": 1.4
}

Model B:
{
  "formula": "LiTmIn2",
  "functional": "PBE-GGA",
  "state": "optimized geometry",
  "lattice_angstrom": [[3.394, 0.000, 0.000], [1.697, 2.940, 0.000], [1.697, 0.980, 9.920]],
  "species": ["Tm", "Li", "In", "In"],
  "frac_coords": [[0.500, 0.500, 0.500], [0.000, 0.000, 0.000], [0.745, 0.745, 0.765], [0.255, 0.255, 0.235]],
  "dos_ef_per_ev_cell": 3.7
}

Last place for stability: model B

Model A:
{
  "formula": "LiTm4In2",
  "functional": "PBE-GGA",
  "state": "optimized geometry",
  "lattice_angstrom": [[-2.292, 6.226, -2.113], [-3.893, 0.349, 5.252], [7.462, -0.022, 5.533]],
  "species": ["Tm", "Tm", "Tm", "Tm", "Tm", "Tm", "Tm", "Tm", "In", "In", "In", "In", "Li", "Li"],
  "frac_coords": [[0.054, 0.750, 0.866], [0.977, 0.250, 0.528], [0.546, 0.494, 0.219], [0.454, 0.506, 0.781], [0.546, 0.006, 0.219], [0.454, 0.994, 0.781], [0.946, 0.250, 0.134], [0.023, 0.750, 0.472], [0.800, 0.750, 0.075], [0.389, 0.250, 0.458], [0.611, 0.750, 0.542], [0.200, 0.250, 0.925], [0.221, 0.750, 0.262], [0.779, 0.250, 0.738]],
  "dos_ef_per_ev_cell": 14.2
}

Model B:
{
  "formula": "LiTm4In2",
  "functional": "PBE-GGA",
  "state": "optimized geometry",
  "lattice_angstrom": [[4.941, 0.000, 1.544], [2.229, 4.410, 1.544], [-0.038, -0.023, 8.800]],
  "species": ["Tm", "Tm", "Tm", "Tm", "In", "In", "Li"],
  "frac_coords": [[0.870, 0.870, 0.389], [0.617, 0.617, 0.149], [0.383, 0.383, 0.851], [0.130, 0.130, 0.611], [0.745, 0.745, 0.766], [0.255, 0.255, 0.234], [0.000, 0.000, 0.000]],
  "dos_ef_per_ev_cell": 7.7
}

Last place for stability: model A

Model A:
{
  "formula": "Li2TmIn",
  "functional": "PBE-GGA",
  "state": "optimized geometry",
  "lattice_angstrom": [[-3.168, 3.611, -0.157], [-3.995, -0.421, -2.638], [-4.269, -0.453, 2.160]],
  "species": ["In", "Tm", "Li", "Li"],
  "frac_coords": [[0.500, 0.500, 0.500], [0.000, 0.000, 0.000], [0.250, 0.250, 0.250], [0.750, 0.750, 0.750]],
  "dos_ef_per_ev_cell": 1.5
}

Model B:
{
  "formula": "Li2TmIn",
  "functional": "PBE-GGA",
  "state": "optimized geometry",
  "lattice_angstrom": [[-3.087, 1.287, 1.451], [-1.437, -3.350, -0.084], [2.365, -1.167, 6.066]],
  "species": ["Tm", "Li", "Li", "In"],
  "frac_coords": [[0.500, 0.500, 0.500], [0.000, 0.000, 0.213], [0.000, 0.000, 0.787], [0.500, 0.500, 0.000]],
  "dos_ef_per_ev_cell": 2.1
}

Last place for stability: model B

Model A:
{
  "formula": "LiTmIn3",
  "functional": "PBE-GGA",
  "state": "optimized geometry",
  "lattice_angstrom": [[8.020, -0.271, -1.502], [-4.084, 6.908, 1.502], [-4.789, -1.646, 6.404]],
  "species": ["In", "In", "In", "In", "In", "In", "Li", "Li", "Tm", "Tm"],
  "frac_coords": [[0.000, 0.384, 0.884], [0.500, 0.384, 0.384], [0.500, 0.616, 0.616], [0.448, 0.198, 0.750], [0.000, 0.616, 0.116], [0.552, 0.802, 0.250], [0.928, 0.178, 0.250], [0.072, 0.822, 0.750], [0.500, 0.500, 0.000], [0.500, 0.000, 0.500]],
  "dos_ef_per_ev_cell": 3.8
}

Model B:
{
  "formula": "LiTmIn3",
  "functional": "PBE-GGA",
  "state": "optimized geometry",
  "lattice_angstrom": [[-2.994, -2.486, -2.505], [5.234, -4.510, -1.782], [-1.498, -4.023, 5.783]],
  "species": ["In", "In", "In", "In", "In", "In", "Li", "Li", "Tm", "Tm"],
  "frac_coords": [[0.500, 0.795, 0.698], [0.000, 0.705, 0.302], [0.500, 0.500, 0.073], [0.000, 0.295, 0.302], [0.500, 0.205, 0.698], [0.000, 0.000, 0.927], [0.500, 0.500, 0.448], [0.000, 0.000, 0.552], [0.000, 0.500, 0.774], [0.500, 0.000, 0.226]],
  "dos_ef_per_ev_cell": 5.1
}

Last place for stability: model A

Model A:
{
  "formula": "LiVIn3",
  "functional": "PBE-GGA",
  "state": "optimized geometry",
  "lattice_angstrom": [[4.866, 0.000, 0.000], [0.000, 4.866, 0.000], [0.000, 0.000, 4.866]],
  "species": ["Li", "In", "In", "In", "V"],
  "frac_coords": [[0.000, 0.000, 0.000], [0.000, 0.500, 0.000], [0.500, 0.000, 0.000], [0.000, 0.000, 0.500], [0.500, 0.500, 0.500]],
  "dos_ef_per_ev_cell": 5.1
}

Model B:
{
  "formula": "LiVIn3",
  "functional": "PBE-GGA",
  "state": "optimized geometry",
  "lattice_angstrom": [[-4.616, -2.093, 1.170], [-0.894, -0.853, -5.053], [2.225, -4.685, 0.398]],
  "species": ["In", "In", "In", "Li", "V"],
  "frac_coords": [[0.000, 0.500, 0.000], [0.500, 0.000, 0.000], [0.000, 0.000, 0.500], [0.500, 0.500, 0.500], [0.000, 0.000, 0.000]],
  "dos_ef_per_ev_cell": 5.0
}

Last place for stability: model A

Model A:
{
  "formula": "LiVIn2",
  "functional": "PBE-GGA",
  "state": "optimized geometry",
  "lattice_angstrom": [[-2.765, -2.659, 2.808], [-3.357, -2.773, -1.907], [0.510, -4.726, 0.050]],
  "species": ["V", "In", "In", "Li"],
  "frac_coords": [[0.000, 0.000, 0.000], [0.250, 0.250, 0.250], [0.750, 0.750, 0.750], [0.500, 0.500, 0.500]],
  "dos_ef_per_ev_cell": 2.4
}

Model B:
{
  "formula": "LiVIn2",
  "functional": "PBE-GGA",
  "state": "optimized geometry",
  "lattice_angstrom": [[4.293, 0.000, 0.000], [0.000, 4.293, 0.000], [2.146, 2.146, 9.789]],
  "species": ["In", "In", "In", "In", "Li", "Li", "V", "V"],
  "frac_coords": [[0.875, 0.877, 0.750], [0.375, 0.373, 0.750], [0.123, 0.625, 0.250], [0.627, 0.125, 0.250], [0.500, 0.500, 0.000], [0.250, 0.750, 0.500], [0.000, 0.000, 0.000], [0.750, 0.250, 0.500]],
  "dos_ef_per_ev_cell": 8.3
}

Model C:
{
  "formula": "LiVIn2",
  "functional": "PBE-GGA",
  "state": "optimized geometry",
  "lattice_angstrom": [[-2.657, -0.744, 1.266], [1.050, -4.708, -0.564], [2.101, -0.056, 4.378]],
  "species": ["V", "Li", "In", "In"],
  "frac_coords": [[0.500, 0.500, 0.500], [0.500, 0.000, 0.000], [0.000, 0.000, 0.500], [0.000, 0.500, 0.000]],
  "dos_ef_per_ev_cell": 1.3
}

Model D:
{
  "formula": "LiVIn2",
  "functional": "PBE-GGA",
  "state": "optimized geometry",
  "lattice_angstrom": [[-0.092, 3.042, -0.007], [-2.595, 1.443, -0.670], [-3.500, 1.439, 9.741]],
  "species": ["In", "In", "V", "Li"],
  "frac_coords": [[0.911, 0.911, 0.267], [0.089, 0.089, 0.733], [0.000, 0.000, 0.000], [0.500, 0.500, 0.500]],
  "dos_ef_per_ev_cell": 2.9
}

Last place for stability: model B

Model A:
{
  "formula": "LiV3In",
  "functional": "PBE-GGA",
  "state": "optimized geometry",
  "lattice_angstrom": [[4.234, 0.000, 0.000], [0.000, 4.234, 0.000], [0.000, 0.000, 4.234]],
  "species": ["V", "V", "V", "In", "Li"],
  "frac_coords": [[0.000, 0.500, 0.000], [0.500, 0.000, 0.000], [0.000, 0.000, 0.500], [0.500, 0.500, 0.500], [0.000, 0.000, 0.000]],
  "dos_ef_per_ev_cell": 8.2
}

Model B:
{
  "formula": "LiV3In",
  "functional": "PBE-GGA",
  "state": "optimized geometry",
  "lattice_angstrom": [[-0.497, 5.002, 1.219], [-2.237, 0.893, -4.578], [-4.638, -0.967, 2.077]],
  "species": ["Li", "V", "V", "V", "In"],
  "frac_coords": [[0.500, 0.500, 0.500], [0.000, 0.500, 0.000], [0.000, 0.000, 0.500], [0.500, 0.000, 0.000], [0.000, 0.000, 0.000]],
  "dos_ef_per_ev_cell": 14.0
}

Last place for stability: model B

Model A:
{
  "formula": "LiIn2W",
  "functional": "PBE-GGA",
  "state": "optimized geometry",
  "lattice_angstrom": [[-2.216, 4.118, -3.042], [-3.576, 1.630, -3.959], [-4.242, 1.515, 2.182]],
  "species": ["In", "In", "W", "Li"],
  "frac_coords": [[0.009, 0.009, 0.900], [0.250, 0.250, 0.332], [0.750, 0.750, 0.836], [0.492, 0.492, 0.433]],
  "dos_ef_per_ev_cell": 2.0
}

Model B:
{
  "formula": "LiIn2W",
  "functional": "PBE-GGA",
  "state": "optimized geometry",
  "lattice_angstrom": [[-0.038, 4.580, 1.873], [-0.199, -1.873, 4.576], [3.023, -0.024, 0.122]],
  "species": ["Li", "In", "In", "W"],
  "frac_coords": [[0.500, 0.000, 0.500], [0.500, 0.500, 0.000], [0.000, 0.000, 0.000], [0.000, 0.500, 0.500]],
  "dos_ef_per_ev_cell": 2.6
}

Last place for stability: model A